No. 1
{"formula": "Ce2SnAs3Ir4", "functional": "GGA-PBE", "state": "relaxed", "final_energy_ev_per_atom": -7.208, "total_magnetization_mub_per_fu": 0.5, "space_group": "No. 115", "cell": [[-2.976, 0.723, -2.822], [-2.894, -0.263, 2.984], [0.898, 10.821, 1.826]], "species": ["Ce", "Ce", "Sn", "As", "As", "As", "Ir", "Ir", "Ir", "Ir"], "fractional_positions": [[0.500, 0.000, 0.237], [0.000, 0.500, 0.763], [0.500, 0.500, 0.500], [0.000, 0.000, 0.500], [0.500, 0.000, 0.869], [0.000, 0.500, 0.131], [0.500, 0.500, 0.000], [0.000, 0.000, 0.000], [0.500, 0.000, 0.652], [0.000, 0.500, 0.348]]}

---

No. 2
{"formula": "Ce2TcAs4Ir3", "functional": "GGA-PBE", "state": "relaxed", "final_energy_ev_per_atom": -7.502, "total_magnetization_mub_per_fu": 1.0, "space_group": "No. 115", "cell": [[4.347, 0.000, 0.000], [0.000, 4.347, 0.000], [0.000, 0.000, 9.796]], "species": ["Ce", "Ce", "Tc", "As", "As", "As", "As", "Ir", "Ir", "Ir"], "fractional_positions": [[0.500, 0.000, 0.245], [0.000, 0.500, 0.755], [0.500, 0.500, 0.500], [0.500, 0.500, 0.000], [0.000, 0.000, 0.000], [0.500, 0.000, 0.630], [0.000, 0.500, 0.370], [0.000, 0.000, 0.500], [0.500, 0.000, 0.881], [0.000, 0.500, 0.119]]}

---

No. 3
{"formula": "Ce8Te4AsIr3", "functional": "GGA-PBE", "state": "relaxed", "final_energy_ev_per_atom": -6.820, "total_magnetization_mub_per_fu": 7.6, "space_group": "No. 166", "cell": [[-2.872, 2.379, -7.583], [6.754, -4.179, -3.869], [-4.997, -4.371, 5.229]], "species": ["Ce", "Ce", "Ce", "Ce", "Ce", "Ce", "Ce", "Ce", "Te", "Te", "Te", "Te", "As", "Ir", "Ir", "Ir"], "fractional_positions": [[0.242, 0.711, 0.969], [0.242, 0.711, 0.484], [0.264, 0.291, 0.527], [0.727, 0.711, 0.969], [0.273, 0.289, 0.031], [0.736, 0.709, 0.473], [0.758, 0.289, 0.516], [0.758, 0.289, 0.031], [0.500, 0.000, 0.000], [0.500, 0.000, 0.500], [0.000, 0.000, 0.000], [0.000, 0.000, 0.500], [0.000, 0.500, 0.000], [0.500, 0.500, 0.000], [0.500, 0.500, 0.500], [0.000, 0.500, 0.500]]}

---

No. 4
{"formula": "Ce2TiAs3Ir4", "functional": "GGA-PBE", "state": "relaxed", "final_energy_ev_per_atom": -7.740, "total_magnetization_mub_per_fu": 0.3, "space_group": "No. 115", "cell": [[-0.871, -0.472, -4.008], [3.500, -2.130, -0.510], [-5.239, -9.137, 2.214]], "species": ["Ce", "Ce", "Ti", "As", "As", "As", "Ir", "Ir", "Ir", "Ir"], "fractional_positions": [[0.500, 0.000, 0.241], [0.000, 0.500, 0.759], [0.500, 0.500, 0.500], [0.000, 0.000, 0.500], [0.500, 0.000, 0.864], [0.000, 0.500, 0.136], [0.500, 0.500, 0.000], [0.000, 0.000, 0.000], [0.500, 0.000, 0.638], [0.000, 0.500, 0.362]]}